## Cu3SnSe (PBE)

Data for crystalline Cu3SnSe at its relaxed geometry.

Results
Total magnetization = 0.000 μB/atom
Total energy = -3.0793 eV/atom
Space-group type = No. 221
Energy above the lowest structure with this stoichiometry = 215 kJ/mol of formula units
D(E_F) = 5.81 states/eV per cell

abc: 4.8555 4.8555 4.8555
angles: 90.00 90.00 90.00
Fractional positions:
Cu 0.0000 0.0000 0.5000
Cu 0.0000 0.5000 0.0000
Cu 0.5000 0.0000 0.0000
Sn 0.0000 0.0000 0.0000
Se 0.5000 0.5000 0.5000

=====

## TiPPt (PBE)

Data for crystalline TiPPt at its relaxed geometry.

Results
Total magnetization = 0.000 μB/atom
Energy of formation from the pure elements = -0.62 eV/atom
Total energy = -7.0728 eV/atom
Space-group type = No. 166
D(E_F) = 6.15 states/eV per cell

abc: 6.4798 6.4798 6.4798
angles: 39.04 39.04 39.04
Fractional positions:
Ti 0.1032 0.1032 0.1032
Ti 0.8968 0.8968 0.8968
P 0.2385 0.2385 0.2385
P 0.7615 0.7615 0.7615
Pt 0.3742 0.3742 0.3742
Pt 0.6258 0.6258 0.6258

=====

## ErPaNi10 (PBE)

Data for crystalline ErPaNi10 at its relaxed geometry.

Results
Total magnetization = 0.134 μB/atom
Energy of formation from the pure elements = -0.37 eV/atom
Total energy = -6.3574 eV/atom
Space-group type = No. 47
D(E_F) = 14.26 states/eV per cell

abc: 3.9872 4.8512 8.3547
angles: 90.00 90.00 90.00
Fractional positions:
Er 0.0000 0.0000 0.0000
Pa 0.0000 0.5000 0.5000
Ni 0.0000 0.0000 0.3371
Ni 0.0000 0.0000 0.6629
Ni 0.0000 0.5000 0.1728
Ni 0.0000 0.5000 0.8272
Ni 0.5000 0.0000 0.5000
Ni 0.5000 0.2514 0.2517
Ni 0.5000 0.2514 0.7483
Ni 0.5000 0.5000 0.0000
Ni 0.5000 0.7486 0.2517
Ni 0.5000 0.7486 0.7483

=====

## HoTaAl4 (PBE)

Data for crystalline HoTaAl4 at its relaxed geometry.

Results
Total magnetization = 0.000 μB/atom
Energy of formation from the pure elements = -0.31 eV/atom
Total energy = -5.5476 eV/atom
Space-group type = No. 216
D(E_F) = 1.40 states/eV per cell

abc: 5.3209 5.3209 5.3209
angles: 60.00 60.00 60.00
Fractional positions:
Ho 0.0000 0.0000 0.0000
Ta 0.7500 0.7500 0.7500
Al 0.3756 0.3756 0.3756
Al 0.3756 0.3756 0.8732
Al 0.3756 0.8732 0.3756
Al 0.8732 0.3756 0.3756

=====

## DyTm5ThIn2 (PBE)

Data for crystalline DyTm5ThIn2 at its relaxed geometry.

Results
Total magnetization = 0.000 μB/atom
Energy of formation from the pure elements = 0.03 eV/atom
Total energy = -4.3995 eV/atom
Space-group type = No. 140
D(E_F) = 27.08 states/eV per cell

abc: 11.0096 11.0096 11.0096
angles: 139.94 139.94 57.95
Fractional positions:
Dy 0.2500 0.7500 0.5000
Dy 0.7500 0.2500 0.5000
Tm 0.0000 0.0000 0.0000
Tm 0.0796 0.5796 0.9074
Tm 0.1722 0.0796 0.5000
Tm 0.3278 0.8278 0.9074
Tm 0.4204 0.3278 0.5000
Tm 0.5000 0.5000 0.0000
Tm 0.5796 0.6722 0.5000
Tm 0.6722 0.1722 0.0926
Tm 0.8278 0.9204 0.5000
Tm 0.9204 0.4204 0.0926
Th 0.2500 0.2500 0.0000
Th 0.7500 0.7500 0.0000
In 0.1244 0.3756 0.5000
In 0.3756 0.8756 0.2513
In 0.6244 0.1244 0.7487
In 0.8756 0.6244 0.5000

=====

## Tb5Os2O12 (PBE)

Data for crystalline Tb5Os2O12 at its relaxed geometry.

Results
Total magnetization = 0.039 μB/atom
Total energy = -8.2402 eV/atom
Space-group type = No. 12
D(E_F) = 5.98 states/eV per cell

abc: 6.9177 6.9177 7.5417
angles: 106.05 106.05 48.42
Fractional positions:
Tb 0.0000 0.0000 0.0000
Tb 0.3016 0.3016 0.1424
Tb 0.3119 0.3119 0.6704
Tb 0.6881 0.6881 0.3296
Tb 0.6984 0.6984 0.8576
Os 0.2189 0.7811 0.5000
Os 0.7811 0.2189 0.5000
O 0.0007 0.0007 0.2975
O 0.0868 0.5823 0.4153
O 0.0983 0.5955 0.9266
O 0.4045 0.9017 0.0734
O 0.4177 0.9132 0.5847
O 0.4989 0.4989 0.3274
O 0.5011 0.5011 0.6726
O 0.5823 0.0868 0.4153
O 0.5955 0.0983 0.9266
O 0.9017 0.4045 0.0734
O 0.9132 0.4177 0.5847
O 0.9993 0.9993 0.7025

=====

## Dy2PS (PBE)

Data for crystalline Dy2PS at its relaxed geometry.

Results
Total magnetization = 0.000 μB/atom
Total energy = -6.4572 eV/atom
Space-group type = No. 160
Energy above the lowest structure with this stoichiometry = 40 kJ/mol of formula units
D(E_F) = 2.37 states/eV per cell

abc: 7.1936 7.1936 7.1936
angles: 31.41 31.41 31.41
Fractional positions:
Dy 0.0000 0.0000 0.0000
Dy 0.1791 0.1791 0.1791
P 0.5908 0.5908 0.5908
S 0.4214 0.4214 0.4214

=====

## TmTiHg2 (PBE)

Data for crystalline TmTiHg2 at its relaxed geometry.

Results
Total magnetization = 0.286 μB/atom
Energy of formation from the pure elements = -0.19 eV/atom
Total energy = -3.4308 eV/atom
Space-group type = No. 123
Energy above the lowest structure with this stoichiometry = 0 kJ/mol of formula units
D(E_F) = 3.33 states/eV per cell

abc: 3.5720 3.5720 6.8578
angles: 90.00 90.00 90.00
Fractional positions:
Tm 0.0000 0.0000 0.0000
Ti 0.0000 0.0000 0.5000
Hg 0.5000 0.5000 0.2711
Hg 0.5000 0.5000 0.7289

=====

## Si2AgRh (PBE)

Data for crystalline Si2AgRh at its relaxed geometry.

Results
Total magnetization = 0.000 μB/atom
Total energy = -5.3710 eV/atom
Space-group type = No. 12
Energy above the lowest structure with this stoichiometry = 23 kJ/mol of formula units
D(E_F) = 1.93 states/eV per cell

abc: 4.3162 4.3162 5.0682
angles: 98.50 98.50 40.52
Fractional positions:
Si 0.2373 0.2373 0.2093
Si 0.7627 0.7627 0.7907
Ag 0.0000 0.0000 0.5000
Rh 0.5000 0.5000 0.0000

=====

## AcLaTmCd (PBE)

Data for crystalline AcLaTmCd at its relaxed geometry.

Results
Total magnetization = 0.001 μB/atom
Energy of formation from the pure elements = -0.13 eV/atom
Total energy = -3.7355 eV/atom
Space-group type = No. 99
Energy above the lowest structure with this stoichiometry = 0 kJ/mol of formula units
D(E_F) = 5.36 states/eV per cell

abc: 3.8044 3.8044 9.1416
angles: 90.00 90.00 90.00
Fractional positions:
Ac 0.0000 0.0000 0.0000
La 0.5000 0.5000 0.7006
Tm 0.5000 0.5000 0.2790
Cd 0.0000 0.0000 0.4653

=====

## TbEr2Pb (PBE)

Data for crystalline TbEr2Pb at its relaxed geometry.

Results
Total magnetization = 0.001 μB/atom
Energy of formation from the pure elements = -0.27 eV/atom
Total energy = -4.6328 eV/atom
Space-group type = No. 123
Energy above the lowest structure with this stoichiometry = 9 kJ/mol of formula units
D(E_F) = 5.18 states/eV per cell

abc: 4.8419 4.8419 4.8224
angles: 90.00 90.00 90.00
Fractional positions:
Tb 0.0000 0.0000 0.0000
Er 0.0000 0.5000 0.5000
Er 0.5000 0.0000 0.5000
Pb 0.5000 0.5000 0.0000

=====

## Na4LiIr3O8 (PBE)

Data for crystalline Na4LiIr3O8 at its relaxed geometry.

Results
Total magnetization = 0.000 μB/atom
Total energy = -5.7872 eV/atom
Space-group type = No. 166
D(E_F) = 1.13 states/eV per cell

abc: 6.3312 6.3312 6.3312
angles: 60.43 60.43 60.43
Fractional positions:
Na 0.0000 0.0000 0.0000
Na 0.0000 0.5000 0.5000
Na 0.5000 0.0000 0.5000
Na 0.5000 0.5000 0.0000
Li 0.5000 0.5000 0.5000
Ir 0.0000 0.0000 0.5000
Ir 0.0000 0.5000 0.0000
Ir 0.5000 0.0000 0.0000
O 0.2101 0.7431 0.7431
O 0.2321 0.2321 0.2321
O 0.2569 0.2569 0.7899
O 0.2569 0.7899 0.2569
O 0.7431 0.2101 0.7431
O 0.7431 0.7431 0.2101
O 0.7679 0.7679 0.7679
O 0.7899 0.2569 0.2569

=====

Q: Look up the total energy of the eighth one.
A: -3.4308 eV/atom

=====

Q: What is the total energy in the eighth record?
A: -3.4308 eV/atom